Material: PrAl4Co
Method: DFT, PBEsol
State: relaxed

```
12
Lattice="7.6320 0.0000 0.0000 0.0000 4.0009 0.0000 0.0000 0.0000 6.8519" Properties=species:S:1:pos:R:3 pbc="T T T"
Pr 1.9080 0.0000 0.7917
Pr 5.7240 0.0000 6.0602
Al 0.0000 0.0000 3.4259
Al 0.5377 2.0004 5.4754
Al 1.9080 2.0004 3.1395
Al 3.2783 2.0004 5.4754
Al 3.8160 0.0000 3.4259
Al 4.3536 2.0004 1.3765
Al 5.7240 2.0004 3.7124
Al 7.0943 2.0004 1.3765
Co 1.9080 0.0000 4.6868
Co 5.7240 0.0000 2.1650
```

Output
For the energy relative to the elements, the calculation gives -0.5154 eV/atom. As for the space group: No. 51.